A plane-wave DFT calculation with PBE was carried out for an optimized crystal structure of Li3CoH6.

Properties
Final energy, eV per atom: -3.61
Distance to the lowest polymorph of the same formula, meV/atom: 0

Unit cell a=4.528 b=4.528 c=4.572 alpha=119.53 beta=119.53 gamma=60.12
Fractional coordinates of all 10 atoms:
H 0.786 0.317 0.825
Li 0.754 0.754 0.764
Co 0.500 0.500 0.000
H 0.317 0.786 0.825
Li 0.000 0.000 0.500
H 0.683 0.214 0.175
H 0.726 0.726 0.317
H 0.274 0.274 0.683
H 0.214 0.683 0.175
Li 0.246 0.246 0.236

=====

A plane-wave DFT calculation with PBE was carried out for an optimized crystal structure of CsNdTmSe3.

Properties
Final energy, eV per atom: -5.01
Distance to the lowest polymorph of the same formula, meV/atom: 0

Unit cell a=8.459 b=8.459 c=11.531 alpha=90.00 beta=90.00 gamma=148.65
Fractional coordinates of all 12 atoms:
Se 0.380 0.620 0.054
Tm 0.533 0.467 0.750
Tm 0.467 0.533 0.250
Cs 0.261 0.739 0.750
Se 0.057 0.943 0.250
Se 0.620 0.380 0.554
Se 0.620 0.380 0.946
Nd 0.000 0.000 0.500
Se 0.380 0.620 0.446
Se 0.943 0.057 0.750
Cs 0.739 0.261 0.250
Nd 0.000 0.000 0.000